This record from the Alexandria database describes a geometry-optimized NaBe3Pb structure. The functional is GGA-PBE.

Symmetry = No. 221
Electronic total energy = -1.6573 eV/atom
Theoretical density = 4.2 g/cm3
ΔH_f (0 K) = 1.58 eV per atom

Unit cell a=4.6629 b=4.6629 c=4.6629 alpha=90.00 beta=90.00 gamma=90.00
Sites, in units of the cell vectors:
Pb (0.5000, 0.5000, 0.5000)
Na (0.0000, 0.0000, 0.0000)
Be (0.0000, 0.5000, 0.0000)
Be (0.5000, 0.0000, 0.0000)
Be (0.0000, 0.0000, 0.5000)